The following is a GGA-PBE calculation of a relaxed Sm3Sn5S12 crystal, from Alexandria via LeMat-Bulk.

Geometry as POSCAR:
```
Sm3Sn5S12
1.0
-8.034 8.034 8.034
8.034 -8.034 8.034
8.034 8.034 -8.034
Sm Sn S
12 20 48
Direct
0.125 0.250 0.375
0.125 0.375 0.750
0.250 0.375 0.125
0.250 0.875 0.625
0.375 0.125 0.250
0.375 0.750 0.125
0.625 0.250 0.875
0.625 0.875 0.750
0.750 0.125 0.375
0.750 0.625 0.875
0.875 0.625 0.250
0.875 0.750 0.625
0.000 0.000 0.000
0.000 0.000 0.500
0.000 0.500 0.000
0.000 0.500 0.500
0.125 0.750 0.875
0.125 0.875 0.250
0.250 0.125 0.875
0.250 0.625 0.375
0.375 0.250 0.625
0.375 0.625 0.750
0.500 0.000 0.000
0.500 0.000 0.500
0.500 0.500 0.000
0.500 0.500 0.500
0.625 0.375 0.250
0.625 0.750 0.375
0.750 0.375 0.625
0.750 0.875 0.125
0.875 0.125 0.750
0.875 0.250 0.125
0.046 0.224 0.136
0.046 0.322 0.910
0.088 0.724 0.678
0.088 0.864 0.410
0.090 0.636 0.412
0.090 0.954 0.678
0.136 0.046 0.224
0.136 0.590 0.912
0.178 0.224 0.588
0.178 0.454 0.590
0.224 0.136 0.046
0.224 0.588 0.178
0.276 0.322 0.912
0.276 0.454 0.364
0.322 0.910 0.046
0.322 0.912 0.276
0.364 0.276 0.454
0.364 0.588 0.910
0.410 0.088 0.864
0.410 0.822 0.546
0.412 0.090 0.636
0.412 0.822 0.776
0.454 0.364 0.276
0.454 0.590 0.178
0.546 0.410 0.822
0.546 0.636 0.724
0.588 0.178 0.224
0.588 0.910 0.364
0.590 0.178 0.454
0.590 0.912 0.136
0.636 0.412 0.090
0.636 0.724 0.546
0.678 0.088 0.724
0.678 0.090 0.954
0.724 0.546 0.636
0.724 0.678 0.088
0.776 0.412 0.822
0.776 0.864 0.954
0.822 0.546 0.410
0.822 0.776 0.412
0.864 0.410 0.088
0.864 0.954 0.776
0.910 0.046 0.322
0.910 0.364 0.588
0.912 0.136 0.590
0.912 0.276 0.322
0.954 0.678 0.090
0.954 0.776 0.864
```

E, eV/atom: -5.11
Crystal system: cubic
ΔE_f (raw), kcal/mol of atoms: -21.24